[1]
Below is crystalline BaSnSb2Br at its relaxed geometry, with properties calculated at the PBEsol level.

Cell lengths 5.618, 5.618, 5.780 Å; angles 90.00, 90.00, 90.00 degrees
Fractional positions:
Ba (0.000, 0.000, 0.000)
Sn (0.500, 0.500, 0.000)
Sb (0.000, 0.500, 0.500)
Sb (0.500, 0.000, 0.500)
Br (0.000, 0.000, 0.500)

DFT total energy: -3.387 eV per atom

[2]
Below is crystalline Zr2ZnCd at its relaxed geometry, with properties calculated at the PBEsol level.

Cell lengths 5.664, 5.664, 5.055 Å; angles 114.79, 114.79, 32.06 degrees
Fractional positions:
Zr (0.000, 0.000, 0.000)
Zr (0.236, 0.236, 0.762)
Zn (0.494, 0.494, 0.490)
Cd (0.772, 0.772, 0.297)

Distance to the lowest polymorph of the same formula: 53 meV/atom
Formation energy: -0.57 eV/f.u.
DFT total energy: -5.383 eV per atom

[3]
Below is crystalline KZnRu2 at its relaxed geometry, with properties calculated at the PBEsol level.

Cell lengths 5.823, 5.823, 5.823 Å; angles 153.46, 131.63, 56.02 degrees
Fractional positions:
K (0.000, 0.000, 0.000)
Zn (0.500, 0.500, 0.000)
Ru (0.283, 0.783, 0.500)
Ru (0.717, 0.217, 0.500)

Formation energy: 3.40 eV/f.u.
DFT total energy: -4.915 eV per atom

[4]
Below is crystalline ScSiRu at its relaxed geometry, with properties calculated at the PBEsol level.

Cell lengths 6.580, 4.134, 6.896 Å; angles 90.00, 90.00, 90.00 degrees
Fractional positions:
Sc (0.008, 0.250, 0.187)
Sc (0.492, 0.750, 0.687)
Sc (0.508, 0.250, 0.313)
Sc (0.992, 0.750, 0.813)
Si (0.205, 0.250, 0.612)
Si (0.295, 0.750, 0.112)
Si (0.705, 0.250, 0.888)
Si (0.795, 0.750, 0.388)
Ru (0.157, 0.750, 0.439)
Ru (0.343, 0.250, 0.939)
Ru (0.657, 0.750, 0.061)
Ru (0.843, 0.250, 0.561)

DFT total energy: -8.421 eV per atom

[5]
Below is crystalline CsGa2Au3 at its relaxed geometry, with properties calculated at the PBEsol level.

Cell lengths 13.400, 5.628, 7.072 Å; angles 90.00, 90.00, 90.00 degrees
Fractional positions:
Cs (0.070, 0.250, 0.093)
Cs (0.430, 0.750, 0.593)
Cs (0.570, 0.250, 0.407)
Cs (0.930, 0.750, 0.907)
Ga (0.155, 0.502, 0.597)
Ga (0.155, 0.998, 0.597)
Ga (0.345, 0.002, 0.097)
Ga (0.345, 0.498, 0.097)
Ga (0.655, 0.502, 0.903)
Ga (0.655, 0.998, 0.903)
Ga (0.845, 0.002, 0.403)
Ga (0.845, 0.498, 0.403)
Au (0.006, 0.750, 0.427)
Au (0.210, 0.750, 0.294)
Au (0.218, 0.750, 0.882)
Au (0.282, 0.250, 0.382)
Au (0.290, 0.250, 0.794)
Au (0.494, 0.250, 0.927)
Au (0.506, 0.750, 0.073)
Au (0.710, 0.750, 0.206)
Au (0.718, 0.750, 0.618)
Au (0.782, 0.250, 0.118)
Au (0.790, 0.250, 0.706)
Au (0.994, 0.250, 0.573)

Formation energy: -1.93 eV/f.u.
DFT total energy: -3.554 eV per atom

[6]
Below is crystalline Li2Ni3SnO8 at its relaxed geometry, with properties calculated at the PBEsol level.

Cell lengths 8.240, 8.240, 8.217 Å; angles 90.00, 90.00, 90.00 degrees
Fractional positions:
Li (0.002, 0.252, 0.377)
Li (0.248, 0.502, 0.127)
Li (0.252, 0.002, 0.623)
Li (0.498, 0.752, 0.373)
Li (0.502, 0.248, 0.873)
Li (0.748, 0.998, 0.123)
Li (0.752, 0.498, 0.627)
Li (0.998, 0.748, 0.877)
Ni (0.117, 0.375, 0.742)
Ni (0.125, 0.617, 0.492)
Ni (0.133, 0.867, 0.250)
Ni (0.367, 0.367, 0.500)
Ni (0.375, 0.117, 0.258)
Ni (0.383, 0.875, 0.008)
Ni (0.617, 0.125, 0.508)
Ni (0.625, 0.883, 0.758)
Ni (0.633, 0.633, 0.000)
Ni (0.867, 0.133, 0.750)
Ni (0.875, 0.383, 0.992)
Ni (0.883, 0.625, 0.242)
Sn (0.125, 0.125, 0.000)
Sn (0.375, 0.625, 0.750)
Sn (0.625, 0.375, 0.250)
Sn (0.875, 0.875, 0.500)
O (0.101, 0.141, 0.748)
O (0.109, 0.376, 0.976)
O (0.112, 0.637, 0.262)
O (0.124, 0.609, 0.726)
O (0.126, 0.851, 0.484)
O (0.137, 0.388, 0.512)
O (0.141, 0.101, 0.252)
O (0.149, 0.874, 0.016)
O (0.351, 0.374, 0.734)
O (0.359, 0.601, 0.498)
O (0.363, 0.888, 0.238)
O (0.374, 0.351, 0.266)
O (0.376, 0.109, 0.024)
O (0.388, 0.137, 0.488)
O (0.391, 0.876, 0.774)
O (0.399, 0.641, 0.002)
O (0.601, 0.359, 0.502)
O (0.609, 0.124, 0.274)
O (0.612, 0.863, 0.988)
O (0.624, 0.891, 0.524)
O (0.626, 0.649, 0.766)
O (0.637, 0.112, 0.738)
O (0.641, 0.399, 0.998)
O (0.649, 0.626, 0.234)
O (0.851, 0.126, 0.516)
O (0.859, 0.899, 0.752)
O (0.863, 0.612, 0.012)
O (0.874, 0.149, 0.984)
O (0.876, 0.391, 0.226)
O (0.888, 0.363, 0.762)
O (0.891, 0.624, 0.476)
O (0.899, 0.859, 0.248)

Distance to the lowest polymorph of the same formula: 0 meV/atom
DFT total energy: -6.181 eV per atom

[7]
Below is crystalline NbAg2IrPt at its relaxed geometry, with properties calculated at the PBEsol level.

Cell lengths 4.893, 4.893, 4.658 Å; angles 90.00, 90.00, 90.00 degrees
Fractional positions:
Nb (0.000, 0.000, 0.000)
Ag (0.000, 0.500, 0.500)
Ag (0.500, 0.000, 0.500)
Ir (0.500, 0.500, 0.500)
Pt (0.500, 0.500, 0.000)

Formation energy: 8.04 eV/f.u.
DFT total energy: -5.238 eV per atom

[8]
Below is crystalline InPb2Au at its relaxed geometry, with properties calculated at the PBEsol level.

Cell lengths 6.269, 6.269, 5.216 Å; angles 114.57, 114.57, 33.11 degrees
Fractional positions:
In (0.000, 0.000, 0.000)
Pb (0.216, 0.216, 0.715)
Pb (0.429, 0.429, 0.430)
Au (0.704, 0.704, 0.201)

Formation energy: -0.05 eV/f.u.
DFT total energy: -3.739 eV per atom

[9]
Below is crystalline ScTlSeN2 at its relaxed geometry, with properties calculated at the PBEsol level.

Cell lengths 4.211, 4.211, 5.343 Å; angles 90.00, 90.00, 90.00 degrees
Fractional positions:
Sc (0.000, 0.000, 0.000)
Tl (0.500, 0.500, 0.500)
Se (0.000, 0.000, 0.500)
N (0.000, 0.500, 0.000)
N (0.500, 0.000, 0.000)

DFT total energy: -5.627 eV per atom

[10]
Below is crystalline Ba2LiHf at its relaxed geometry, with properties calculated at the PBEsol level.

Cell lengths 5.792, 5.792, 5.792 Å; angles 60.00, 60.00, 60.00 degrees
Fractional positions:
Ba (0.250, 0.250, 0.250)
Ba (0.750, 0.750, 0.750)
Li (0.000, 0.000, 0.000)
Hf (0.500, 0.500, 0.500)

Formation energy: 2.59 eV/f.u.
DFT total energy: -3.544 eV per atom

[11]
Below is crystalline CdCuPt2 at its relaxed geometry, with properties calculated at the PBEsol level.

Cell lengths 4.771, 4.771, 4.797 Å; angles 101.01, 101.01, 34.16 degrees
Fractional positions:
Cd (0.000, 0.000, 0.000)
Cu (0.500, 0.500, 0.500)
Pt (0.244, 0.244, 0.739)
Pt (0.756, 0.756, 0.261)

Formation energy: -0.65 eV/f.u.
DFT total energy: -5.027 eV per atom

[12]
Below is crystalline LaMg2In2 at its relaxed geometry, with properties calculated at the PBEsol level.

Cell lengths 8.693, 8.693, 3.228 Å; angles 90.00, 90.00, 90.00 degrees
Fractional positions:
La (0.000, 0.000, 0.000)
La (0.500, 0.500, 0.000)
Mg (0.123, 0.377, 0.000)
Mg (0.377, 0.877, 0.000)
Mg (0.623, 0.123, 0.000)
Mg (0.877, 0.623, 0.000)
In (0.173, 0.673, 0.500)
In (0.327, 0.173, 0.500)
In (0.673, 0.827, 0.500)
In (0.827, 0.327, 0.500)

Formation energy: -1.42 eV/f.u.
DFT total energy: -3.234 eV per atom

[13]
Below is crystalline Hg2AuCl at its relaxed geometry, with properties calculated at the PBEsol level.

Cell lengths 3.364, 3.364, 8.240 Å; angles 90.00, 90.00, 112.52 degrees
Fractional positions:
Hg (0.000, 0.000, 0.000)
Hg (0.500, 0.500, 0.270)
Au (0.000, 0.000, 0.509)
Cl (0.500, 0.500, 0.731)

Distance to the lowest polymorph of the same formula: 41 meV/atom
DFT total energy: -1.732 eV per atom

[14]
Below is crystalline NaZrAl2 at its relaxed geometry, with properties calculated at the PBEsol level.

Cell lengths 6.074, 6.074, 6.074 Å; angles 104.02, 104.02, 121.03 degrees
Fractional positions:
Na (0.000, 0.000, 0.000)
Na (0.750, 0.250, 0.500)
Zr (0.250, 0.750, 0.500)
Zr (0.500, 0.500, 0.000)
Al (0.118, 0.625, 0.993)
Al (0.375, 0.368, 0.493)
Al (0.632, 0.125, 0.007)
Al (0.875, 0.882, 0.507)

Formation energy: 1.74 eV/f.u.
DFT total energy: -4.232 eV per atom

[15]
Below is crystalline Cs2NaCoC6N6 at its relaxed geometry, with properties calculated at the PBEsol level.

Cell lengths 7.393, 7.695, 12.963 Å; angles 90.00, 124.62, 90.00 degrees
Fractional positions:
Cs (0.234, 0.057, 0.250)
Cs (0.234, 0.443, 0.750)
Cs (0.766, 0.557, 0.250)
Cs (0.766, 0.943, 0.750)
Na (0.000, 0.000, 0.500)
Na (0.000, 0.500, 0.000)
Co (0.500, 0.000, 0.000)
Co (0.500, 0.500, 0.500)
C (0.274, 0.137, 0.977)
C (0.274, 0.363, 0.477)
C (0.335, 0.698, 0.472)
C (0.335, 0.802, 0.972)
C (0.381, 0.011, 0.830)
C (0.381, 0.489, 0.330)
C (0.619, 0.511, 0.670)
C (0.619, 0.989, 0.170)
C (0.665, 0.198, 0.028)
C (0.665, 0.302, 0.528)
C (0.726, 0.637, 0.523)
C (0.726, 0.863, 0.023)
N (0.130, 0.225, 0.961)
N (0.130, 0.275, 0.461)
N (0.229, 0.677, 0.953)
N (0.229, 0.823, 0.453)
N (0.306, 0.020, 0.723)
N (0.306, 0.480, 0.223)
N (0.694, 0.520, 0.777)
N (0.694, 0.980, 0.277)
N (0.771, 0.177, 0.547)
N (0.771, 0.323, 0.047)
N (0.870, 0.725, 0.539)
N (0.870, 0.775, 0.039)

DFT total energy: -7.662 eV per atom

[16]
Below is crystalline LiMn2Pt at its relaxed geometry, with properties calculated at the PBEsol level.

Cell lengths 4.116, 4.116, 3.253 Å; angles 90.00, 90.00, 90.00 degrees
Fractional positions:
Li (0.000, 0.000, 0.000)
Mn (0.000, 0.500, 0.500)
Mn (0.500, 0.000, 0.500)
Pt (0.500, 0.500, 0.000)

Formation energy: 0.19 eV/f.u.
DFT total energy: -7.066 eV per atom

[17]
Below is crystalline KCuN at its relaxed geometry, with properties calculated at the PBEsol level.

Cell lengths 4.544, 4.544, 8.465 Å; angles 90.01, 90.01, 44.54 degrees
Fractional positions:
K (0.001, 0.999, 0.500)
K (0.999, 0.001, 0.000)
Cu (0.266, 0.276, 0.250)
Cu (0.276, 0.266, 0.750)
N (0.763, 0.773, 0.250)
N (0.773, 0.763, 0.750)

DFT total energy: -4.422 eV per atom

[18]
Below is crystalline SrMg3Pt at its relaxed geometry, with properties calculated at the PBEsol level.

Cell lengths 5.083, 5.083, 5.083 Å; angles 90.00, 90.00, 90.00 degrees
Fractional positions:
Sr (0.000, 0.000, 0.000)
Mg (0.000, 0.500, 0.500)
Mg (0.500, 0.000, 0.500)
Mg (0.500, 0.500, 0.000)
Pt (0.500, 0.500, 0.500)

Formation energy: -1.86 eV/f.u.
DFT total energy: -3.162 eV per atom

[19]
Below is crystalline LaSiAs3 at its relaxed geometry, with properties calculated at the PBEsol level.

Cell lengths 6.003, 26.276, 5.892 Å; angles 90.00, 90.00, 90.00 degrees
Fractional positions:
La (0.018, 0.089, 0.000)
La (0.021, 0.405, 0.500)
La (0.479, 0.905, 0.000)
La (0.482, 0.589, 0.500)
La (0.518, 0.411, 0.000)
La (0.521, 0.095, 0.500)
La (0.979, 0.595, 0.000)
La (0.982, 0.911, 0.500)
Si (0.067, 0.795, 0.092)
Si (0.113, 0.293, 0.090)
Si (0.387, 0.793, 0.590)
Si (0.433, 0.295, 0.592)
Si (0.567, 0.705, 0.092)
Si (0.613, 0.207, 0.090)
Si (0.887, 0.707, 0.590)
Si (0.933, 0.205, 0.592)
As (0.008, 0.791, 0.490)
As (0.014, 0.376, 0.998)
As (0.024, 0.122, 0.497)
As (0.055, 0.287, 0.488)
As (0.210, 0.501, 0.219)
As (0.211, 0.501, 0.786)
As (0.289, 0.001, 0.286)
As (0.290, 0.001, 0.719)
As (0.445, 0.787, 0.988)
As (0.476, 0.622, 0.997)
As (0.486, 0.876, 0.498)
As (0.492, 0.291, 0.990)
As (0.508, 0.709, 0.490)
As (0.514, 0.124, 0.998)
As (0.524, 0.378, 0.497)
As (0.555, 0.213, 0.488)
As (0.710, 0.999, 0.219)
As (0.711, 0.999, 0.786)
As (0.789, 0.499, 0.286)
As (0.790, 0.499, 0.719)
As (0.945, 0.713, 0.988)
As (0.976, 0.878, 0.997)
As (0.986, 0.624, 0.498)
As (0.992, 0.209, 0.990)

Distance to the lowest polymorph of the same formula: 0 meV/atom
DFT total energy: -5.940 eV per atom

[20]
Below is crystalline RbSr3Ir at its relaxed geometry, with properties calculated at the PBEsol level.

Cell lengths 5.980, 5.980, 5.980 Å; angles 90.00, 90.00, 90.00 degrees
Fractional positions:
Rb (0.000, 0.000, 0.000)
Sr (0.000, 0.500, 0.500)
Sr (0.500, 0.000, 0.500)
Sr (0.500, 0.500, 0.000)
Ir (0.500, 0.500, 0.500)

Formation energy: -0.01 eV/f.u.
DFT total energy: -3.275 eV per atom